Record 1
Density functional theory data (PBE) for a geometry-optimized CdPbClF2 structure.

Summary:
The value obtained for the uncorrected formation energy is -1342.4 meV/atom. The value obtained for the density is 5994 kg/m3.

Cell: 4.4856 4.4856 5.4120 Å, 90.00 90.00 90.00°
Closest atoms and distances in Å follow each position.
Space group P4/mmm (No. 123)
Unique sites:
Cd 0.0000 0.0000 0.0000 x1  4 F 2.24
Pb 0.5000 0.5000 0.5000 x1  4 Cl 3.17, 8 F 3.51
Cl 0.0000 0.0000 0.5000 x1  2 Cd 2.71
F 0.0000 0.5000 0.0000 x2  2 Cd 2.24

***

Record 2
Density functional theory data (PBE) for a geometry-optimized Cd3PdCl2F6 structure.

Summary:
The value obtained for the uncorrected formation energy is -1580.0 meV/atom. The value obtained for the density is 4803 kg/m3.

Cell: 12.2391 6.8410 5.2244 Å, 90.00 96.55 90.00°
Closest atoms and distances in Å follow each position.
Space group C2/m (No. 12)
Unique sites:
Cd 0.0000 0.0000 0.0000 x2  4 F 2.36, 2 Cl 2.57
Cd 0.2500 0.2500 0.5000 x4  4 F 2.25-2.33
Pd 0.0000 0.5000 0.5000 x2  6 F 2.17-2.29
Cl 0.1882 0.0000 0.8247 x4  3 Cd 2.57-2.58
F 0.0723 0.2485 0.2842 x8  1 Pd 2.29, 2 Cd 2.33-2.36
F 0.1681 0.5000 0.6832 x4  1 Pd 2.17, 2 Cd 2.25

***

Record 3
Density functional theory data (PBE) for a geometry-optimized Rb3Cd2Cl3F4 structure.

Summary:
The value obtained for the uncorrected formation energy is -2041.2 meV/atom. The value obtained for the density is 3728 kg/m3.

Cell: 4.5224 5.2220 25.0323 Å, 90.00 90.00 90.00°
Closest atoms and distances in Å follow each position.
Space group Immm (No. 71)
Unique sites:
Rb 0.0000 0.0000 0.0000 x2  8 Cl 3.38-3.45
Rb 0.0000 0.0000 0.1936 x4  1 F 2.69
Cd 0.0000 0.0000 0.3899 x4  3 F 2.23-2.26
Cl 0.0000 0.0000 0.5000 x2  2 Cd 2.76
Cl 0.0000 0.5000 0.3998 x4  2 Cd 2.62
F 0.0000 0.0000 0.3010 x4  1 Cd 2.23
F 0.0000 0.5000 0.1140 x4  2 Cd 2.26

***

Record 4
Density functional theory data (PBE) for a geometry-optimized Rb2CdClF6 structure.

Summary:
The value obtained for the uncorrected formation energy is -1800.1 meV/atom. The value obtained for the density is 3690 kg/m3.

Cell: 6.1408 6.1408 10.3284 Å, 90.00 90.00 90.00°
Closest atoms and distances in Å follow each position.
Space group I4/mmm (No. 139)
Unique sites:
Rb 0.0000 0.5000 0.2500 x4  12 F 3.10-3.37
Cd 0.0000 0.0000 0.0000 x2  6 F 2.14-2.25
Cl 0.0000 0.0000 0.5000 x2  4 F 2.09
F 0.0000 0.0000 0.2068 x4  1 Cd 2.14
F 0.2404 0.2404 0.5000 x8  1 Cl 2.09, 1 Cd 2.25

***

Record 5
Density functional theory data (PBE) for a geometry-optimized Rb2CdClF3 structure.

Summary:
The value obtained for the uncorrected formation energy is -2223.3 meV/atom. The value obtained for the density is 3673 kg/m3.

Cell: 4.5730 5.1588 14.4022 Å, 90.00 90.00 90.00°
Closest atoms and distances in Å follow each position.
Space group Immm (No. 71)
Unique sites:
Rb 0.0000 0.0000 0.1566 x4  1 F 2.68
Cd 0.0000 0.0000 0.5000 x2  4 F 2.26-2.29
Cl 0.0000 0.5000 0.5000 x2  2 Cd 2.58
F 0.0000 0.0000 0.3429 x4  1 Cd 2.26
F 0.0000 0.5000 0.0000 x2  2 Cd 2.29

***

Record 6
Density functional theory data (PBE) for a geometry-optimized Rb2CdCl6F structure.

Summary:
The value obtained for the uncorrected formation energy is -1005.1 meV/atom. The value obtained for the density is 2991 kg/m3.

Cell: 7.9299 7.9299 9.0939 Å, 90.00 90.00 90.00°
Closest atoms and distances in Å follow each position.
Space group I4/mmm (No. 139)
Unique sites:
Rb 0.0000 0.5000 0.2500 x4  12 Cl 3.62-3.98
Cd 0.0000 0.0000 0.0000 x2  6 Cl 2.52-2.57
Cl 0.0000 0.0000 0.2826 x4  1 F 1.98
Cl 0.2245 0.2245 0.0000 x8  1 Cd 2.52
F 0.0000 0.0000 0.5000 x2  2 Cl 1.98

***

Record 7
Density functional theory data (PBE) for a geometry-optimized RbCdCl2F structure.

Summary:
The value obtained for the uncorrected formation energy is -1770.1 meV/atom. The value obtained for the density is 3758 kg/m3.

Cell: 5.3450 5.3450 4.4508 Å, 90.00 90.00 90.00°
Closest atoms and distances in Å follow each position.
Space group P4/mmm (No. 123)
Unique sites:
Rb 0.0000 0.0000 0.0000 x1  8 Cl 3.48, 4 F 3.78
Cd 0.5000 0.5000 0.5000 x1  2 F 2.23
Cl 0.0000 0.5000 0.5000 x2  2 Cd 2.67
F 0.5000 0.5000 0.0000 x1  2 Cd 2.23

***

Record 8
Density functional theory data (PBE) for a geometry-optimized Rb3Cd2Cl5F2 structure.

Summary:
The value obtained for the uncorrected formation energy is -1770.2 meV/atom. The value obtained for the density is 3353 kg/m3.

Cell: 5.3323 5.3323 24.2611 Å, 90.00 90.00 90.00°
Closest atoms and distances in Å follow each position.
Space group I4/mmm (No. 139)
Unique sites:
Rb 0.0000 0.0000 0.0000 x2  12 Cl 3.70-3.77
Rb 0.0000 0.0000 0.1918 x4  1 F 2.65
Cd 0.0000 0.0000 0.3908 x4  1 F 2.18
Cl 0.0000 0.0000 0.5000 x2  2 Cd 2.65
Cl 0.0000 0.5000 0.1058 x8  2 Cd 2.67
F 0.0000 0.0000 0.3011 x4  1 Cd 2.18

***

Q: Which value of density does entry 6 give?
A: 2991 kg/m3